Computed, not measured: an optimized crystal structure of Zr2Al3P4 at the PBE level of DFT.

POSCAR file:
```
Zr2Al3P4
1.0
4.087 0.000 0.000
-2.043 3.539 0.000
0.000 0.000 22.979
P Al Zr
8 6 4
Cartesian
0.000 0.000 0.000
0.000 0.000 11.490
2.043 1.180 2.970
0.000 2.359 14.460
0.000 2.359 20.009
2.043 1.180 8.519
0.000 0.000 5.745
0.000 0.000 17.234
0.000 0.000 3.291
0.000 0.000 14.781
0.000 0.000 19.688
0.000 0.000 8.198
2.043 1.180 5.745
0.000 2.359 17.234
0.000 2.359 1.205
2.043 1.180 12.695
2.043 1.180 21.774
0.000 2.359 10.284
```

final energy: -6.107 eV per atom
DFT formation energy: -12.81 kcal/mol of atoms